Entry from Alexandria: a geometry-optimized TmScZn10 structure (GGA-PBE).

Results
Space-group type: Pmmm
Formation energy from the elements (meV/atom): -226

a b c (Å): 4.2028 5.2347 9.0254
angles (deg): 90.00 90.00 90.00
Last column: nearest neighbours and their distance in Å.
Atoms (fractional coordinates):
Tm  0.0000  0.0000  0.0000  18 Zn 3.04-3.36
Sc  0.0000  0.5000  0.5000  6 Zn 2.96-2.99
Zn  0.0000  0.0000  0.3389  6 Zn 2.56-2.60
Zn  0.0000  0.0000  0.6611  6 Zn 2.56-2.60
Zn  0.0000  0.5000  0.1718  6 Zn 2.58-2.61
Zn  0.0000  0.5000  0.8282  6 Zn 2.58-2.61
Zn  0.5000  0.0000  0.5000  8 Zn 2.56-2.60
Zn  0.5000  0.2500  0.2509  8 Zn 2.58-2.62
Zn  0.5000  0.2500  0.7491  8 Zn 2.58-2.62
Zn  0.5000  0.5000  0.0000  8 Zn 2.61-2.62
Zn  0.5000  0.7500  0.2509  8 Zn 2.58-2.62
Zn  0.5000  0.7500  0.7491  8 Zn 2.58-2.62